{"formula": "Ac2PaInPt6", "functional": "PBE", "state": "optimized geometry", "e_tot_ev_per_atom": -6.0827, "sg": "Fm-3m", "vol_a3_per_atom": 26.92, "cell": [[-4.435, 2.243, 5.275], [-3.462, -6.364, -0.203], [-0.717, -3.930, 6.047]], "species": ["Pt", "Pt", "Pt", "Pt", "Pt", "Pt", "In", "Ac", "Ac", "Pa"], "fractional_positions": [[0.250, 0.750, 0.000], [0.750, 0.750, 0.000], [0.750, 0.250, 0.000], [0.750, 0.750, 0.500], [0.250, 0.250, 0.500], [0.250, 0.250, 0.000], [0.000, 0.000, 0.000], [0.250, 0.750, 0.500], [0.750, 0.250, 0.500], [0.500, 0.500, 0.000]]}

---

{"formula": "Ac2PaInRh6", "functional": "PBE", "state": "optimized geometry", "e_tot_ev_per_atom": -6.8879, "sg": "P-1", "vol_a3_per_atom": 23.66, "cell": [[-2.212, 4.813, 2.443], [-0.731, -4.195, 7.594], [3.022, 2.843, 4.097]], "species": ["Rh", "Rh", "Rh", "Rh", "Rh", "Rh", "In", "Pa", "Ac", "Ac"], "fractional_positions": [[0.254, 0.263, 0.990], [0.240, 0.735, 0.011], [0.254, 0.264, 0.494], [0.746, 0.737, 0.010], [0.760, 0.265, 0.989], [0.746, 0.736, 0.506], [0.000, 0.000, 0.000], [0.500, 0.500, 0.000], [0.720, 0.158, 0.561], [0.280, 0.842, 0.439]]}

---

{"formula": "AcPaIn2S8", "functional": "PBE", "state": "optimized geometry", "e_tot_ev_per_atom": -5.2823, "raw_formation_energy_ev_per_atom": -0.941, "sg": "I-4", "vol_a3_per_atom": 24.91, "cell": [[-3.184, 5.145, -3.070], [-5.770, -1.695, 3.142], [6.023, 2.185, 4.913]], "species": ["Ac", "S", "S", "S", "S", "S", "S", "S", "S", "In", "In", "Pa"], "fractional_positions": [[0.750, 0.250, 0.500], [0.617, 0.676, 0.692], [0.075, 0.016, 0.692], [0.154, 0.623, 0.834], [0.324, 0.925, 0.308], [0.788, 0.846, 0.166], [0.984, 0.383, 0.308], [0.680, 0.212, 0.834], [0.377, 0.320, 0.166], [0.500, 0.500, 0.000], [0.250, 0.750, 0.500], [0.000, 0.000, 0.000]]}

---

{"formula": "Ac6In2Pb3", "functional": "PBE", "state": "optimized geometry", "e_tot_ev_per_atom": -3.8642, "sg": "I4/mmm", "vol_a3_per_atom": 42.67, "cell": [[-2.933, -5.414, -1.658], [5.325, -2.003, -2.879], [2.286, -1.196, 12.122]], "species": ["Pb", "Pb", "Pb", "Ac", "Ac", "Ac", "Ac", "Ac", "Ac", "In", "In"], "fractional_positions": [[0.000, 0.000, 0.000], [0.847, 0.847, 0.693], [0.153, 0.153, 0.307], [0.296, 0.296, 0.592], [0.415, 0.915, 0.829], [0.585, 0.085, 0.171], [0.085, 0.585, 0.171], [0.704, 0.704, 0.408], [0.915, 0.415, 0.829], [0.561, 0.561, 0.122], [0.439, 0.439, 0.878]]}